1:
Material: HfTeS3
Method: DFT, GGA-PBE
State: relaxed

Geometry as extended XYZ:
```
5
Lattice="4.930 0.000 0.000 0.000 4.930 0.000 0.000 0.000 4.930" Properties=species:S:1:pos:R:3 pbc="T T T"
Hf 0.000 0.000 0.000
Te 2.465 2.465 2.465
S 0.000 0.000 2.465
S 0.000 2.465 0.000
S 2.465 0.000 0.000
```

=====

2:
Material: HfTeS3
Method: DFT, GGA-PBE
State: relaxed

Geometry as extended XYZ:
```
10
Lattice="12.453 -1.951 0.000 12.453 1.951 0.000 -1.104 0.000 6.140" Properties=species:S:1:pos:R:3 pbc="T T T"
Hf 5.949 0.000 1.536
Hf 17.854 0.000 4.605
Te -0.150 0.000 1.557
Te 23.952 0.000 4.584
S 3.844 0.000 5.346
S 6.961 0.000 3.862
S 10.872 0.000 1.306
S 12.930 0.000 4.835
S 16.842 0.000 2.278
S 19.959 0.000 0.794
```

=====

3:
Material: HfTeS3
Method: DFT, GGA-PBE
State: relaxed

Geometry as extended XYZ:
```
5
Lattice="4.956 0.000 0.000 0.000 4.956 0.000 0.000 0.000 4.956" Properties=species:S:1:pos:R:3 pbc="T T T"
Hf 0.000 0.000 0.000
Te 2.478 2.478 2.478
S 0.000 2.478 2.478
S 2.478 0.000 2.478
S 2.478 2.478 0.000
```

=====

Which is the most stable structure? 2 is the most stable.

=====

1:
Material: HfTiS
Method: DFT, GGA-PBE
State: relaxed

Geometry as extended XYZ:
```
6
Lattice="1.647 -6.317 0.000 1.647 6.317 0.000 0.000 0.000 5.113" Properties=species:S:1:pos:R:3 pbc="T T T"
Hf 1.647 4.419 3.835
Hf 1.647 -4.419 1.278
Ti 1.647 0.573 3.835
Ti 1.647 -0.573 1.278
S 1.647 3.926 1.278
S 1.647 -3.926 3.835
```

=====

2:
Material: HfTiS
Method: DFT, GGA-PBE
State: relaxed

Geometry as extended XYZ:
```
6
Lattice="4.620 -1.664 0.000 4.620 1.664 0.000 -1.389 0.000 6.726" Properties=species:S:1:pos:R:3 pbc="T T T"
Hf 0.636 0.000 2.208
Hf 7.215 0.000 4.518
Ti 3.366 0.000 0.249
Ti 4.485 0.000 6.477
S 0.575 0.000 4.777
S 7.275 0.000 1.949
```

=====

Which is the most stable structure? 1 is the most stable.

=====

1:
Material: HfTi2S6
Method: DFT, GGA-PBE
State: relaxed

Geometry as extended XYZ:
```
9
Lattice="6.080 -2.325 0.000 6.080 2.325 0.000 -4.309 0.000 6.718" Properties=species:S:1:pos:R:3 pbc="T T T"
Hf 0.000 0.000 0.000
Ti -0.372 0.000 3.980
Ti 8.223 0.000 2.738
S -2.645 0.000 4.779
S 1.533 0.000 2.364
S 0.479 0.000 6.195
S 7.372 0.000 0.523
S 6.318 0.000 4.354
S 10.496 0.000 1.939
```

=====

2:
Material: HfTi2S6
Method: DFT, GGA-PBE
State: relaxed

Geometry as extended XYZ:
```
9
Lattice="6.059 0.000 0.000 -3.029 5.247 0.000 0.000 0.000 6.414" Properties=species:S:1:pos:R:3 pbc="T T T"
Hf 0.000 0.000 0.000
Ti 0.000 3.498 0.000
Ti 3.029 1.749 0.000
S -1.044 1.808 1.426
S -1.985 3.439 4.988
S 2.088 0.000 1.426
S 1.044 1.808 4.988
S 3.971 0.000 4.988
S 1.985 3.439 1.426
```

=====

Which is the most stable structure? 2 is the most stable.